No. 1
{"formula": "Ac4TbHo3Se8", "functional": "PBE", "state": "optimized geometry", "crystal_system": "trigonal", "total_magnetization_mub_per_fu": 0.000, "raw_formation_energy_mev_per_atom": -1793, "lattice_angstrom": [[-6.991, 0.818, -4.371], [0.463, -8.474, -2.326], [0.073, 1.835, 8.079]], "species": ["Ac", "Ac", "Ac", "Ac", "Tb", "Ho", "Ho", "Ho", "Se", "Se", "Se", "Se", "Se", "Se", "Se", "Se"], "frac_coords": [[0.500, 0.000, 0.000], [0.500, 0.000, 0.500], [0.000, 0.000, 0.000], [0.000, 0.000, 0.500], [0.000, 0.500, 0.000], [0.500, 0.500, 0.000], [0.500, 0.500, 0.500], [0.000, 0.500, 0.500], [0.240, 0.718, 0.977], [0.240, 0.718, 0.480], [0.261, 0.283, 0.522], [0.737, 0.718, 0.977], [0.263, 0.282, 0.023], [0.739, 0.717, 0.478], [0.760, 0.282, 0.520], [0.760, 0.282, 0.023]]}


No. 2
{"formula": "ReN", "functional": "PBE", "state": "optimized geometry", "crystal_system": "orthorhombic", "total_magnetization_mub_per_fu": 0.000, "raw_formation_energy_mev_per_atom": 241, "lattice_angstrom": [[-0.636, -2.515, -1.106], [3.335, 0.888, -3.938], [7.307, -4.159, 5.251]], "species": ["Re", "Re", "Re", "Re", "Re", "Re", "N", "N", "N", "N", "N", "N"], "frac_coords": [[0.000, 0.965, 0.860], [0.500, 0.035, 0.640], [0.500, 0.035, 0.360], [0.000, 0.965, 0.140], [0.000, 0.612, 0.500], [0.500, 0.388, 0.000], [0.000, 0.752, 0.685], [0.500, 0.248, 0.815], [0.500, 0.248, 0.185], [0.000, 0.752, 0.315], [0.000, 0.668, 0.000], [0.500, 0.332, 0.500]]}


No. 3
{"formula": "SiSnS2N", "functional": "PBE", "state": "optimized geometry", "crystal_system": "monoclinic", "total_magnetization_mub_per_fu": 0.000, "raw_formation_energy_mev_per_atom": -241, "lattice_angstrom": [[5.377, 0.000, -0.002], [0.000, 3.460, 0.000], [-2.478, 0.000, 5.544]], "species": ["Si", "Sn", "S", "S", "N"], "frac_coords": [[0.438, 0.500, 0.385], [0.888, 0.000, 0.987], [0.689, 0.000, 0.360], [0.455, 0.500, 0.738], [0.116, 0.500, 0.171]]}


No. 4
{"formula": "Rb8TlHg2", "functional": "PBE", "state": "optimized geometry", "crystal_system": "monoclinic", "delta_e_f_kj_per_mol_fu": -73, "total_magnetization_mub_per_fu": 0.000, "lattice_angstrom": [[7.779, 0.030, -1.339], [-2.569, 8.969, -3.724], [-0.165, -0.112, 10.044]], "species": ["Rb", "Rb", "Rb", "Rb", "Rb", "Rb", "Rb", "Rb", "Tl", "Hg", "Hg"], "frac_coords": [[0.584, 0.336, 0.079], [0.584, 0.079, 0.336], [0.176, 0.357, 0.357], [0.980, 0.217, 0.785], [0.980, 0.785, 0.217], [0.803, 0.654, 0.654], [0.373, 0.928, 0.665], [0.373, 0.665, 0.928], [0.163, 0.999, 0.999], [0.491, 0.690, 0.324], [0.491, 0.324, 0.690]]}


No. 5
{"formula": "SrCdAg6", "functional": "PBE", "state": "optimized geometry", "crystal_system": "cubic", "delta_e_f_kj_per_mol_fu": 17, "total_magnetization_mub_per_fu": 0.000, "lattice_angstrom": [[-2.325, -4.970, 0.632], [5.007, -2.277, 0.508], [-0.196, 0.787, 5.464]], "species": ["Sr", "Cd", "Ag", "Ag", "Ag", "Ag", "Ag", "Ag"], "frac_coords": [[0.500, 0.500, 0.500], [0.000, 0.000, 0.000], [0.500, 0.756, 0.000], [0.756, 0.000, 0.500], [0.000, 0.500, 0.244], [0.244, 0.000, 0.500], [0.500, 0.244, 0.000], [0.000, 0.500, 0.756]]}


No. 6
{"formula": "MgTlGa", "functional": "PBE", "state": "optimized geometry", "crystal_system": "orthorhombic", "delta_e_f_kj_per_mol_fu": 7, "total_magnetization_mub_per_fu": 0.000, "lattice_angstrom": [[11.040, 0.000, 0.000], [0.000, 5.585, 0.000], [0.000, 0.000, 4.717]], "species": ["Tl", "Tl", "Tl", "Tl", "Mg", "Mg", "Mg", "Mg", "Ga", "Ga", "Ga", "Ga"], "frac_coords": [[0.286, 0.250, 0.999], [0.214, 0.750, 0.499], [0.714, 0.750, 0.001], [0.786, 0.250, 0.501], [0.581, 0.250, 0.000], [0.919, 0.750, 0.500], [0.419, 0.750, 0.000], [0.081, 0.250, 0.500], [0.000, 0.000, 0.000], [0.500, 0.500, 0.500], [0.500, 0.000, 0.500], [0.000, 0.500, 0.000]]}


No. 7
{"formula": "NpPaTl2O8", "functional": "PBE", "state": "optimized geometry", "crystal_system": "orthorhombic", "total_magnetization_mub_per_fu": 1.453, "raw_formation_energy_mev_per_atom": -2154, "lattice_angstrom": [[5.204, -0.101, -0.003], [-0.086, 5.196, -0.006], [0.004, 0.008, 7.057]], "species": ["Np", "Pa", "Tl", "Tl", "O", "O", "O", "O", "O", "O", "O", "O"], "frac_coords": [[0.000, 0.000, 0.000], [0.000, 0.000, 0.500], [0.500, 0.500, 0.752], [0.500, 0.500, 0.248], [0.172, 0.827, 0.240], [0.717, 0.717, 0.000], [0.828, 0.173, 0.240], [0.828, 0.173, 0.760], [0.283, 0.283, 0.000], [0.172, 0.827, 0.760], [0.707, 0.707, 0.500], [0.293, 0.293, 0.500]]}


No. 8
{"formula": "NbPF", "functional": "PBE", "state": "optimized geometry", "crystal_system": "monoclinic", "total_magnetization_mub_per_fu": 0.000, "raw_formation_energy_mev_per_atom": -1560, "lattice_angstrom": [[-0.276, 0.335, 3.292], [-3.552, -2.630, 1.644], [2.784, -5.108, 2.427]], "species": ["Nb", "Nb", "P", "P", "F", "F"], "frac_coords": [[0.349, 0.589, 0.712], [0.651, 0.411, 0.288], [0.898, 0.803, 0.401], [0.102, 0.197, 0.599], [0.331, 0.289, 0.049], [0.669, 0.711, 0.951]]}